Entry 1:
Material: Ba4MnAl
Method: DFT, PBE
State: relaxed

a b c (Å): 7.2096 7.2096 7.2096
angles (deg): 60.00 60.00 60.00
Atoms (fractional coordinates):
1 Ba 0.1255 0.1255 0.1255
2 Ba 0.1255 0.1255 0.6236
3 Ba 0.1255 0.6236 0.1255
4 Ba 0.6236 0.1255 0.1255
5 Mn 0.7500 0.7500 0.7500
6 Al 0.5000 0.5000 0.5000

Output
The calculation puts the density of states at the Fermi level at 9.29 states/eV/cell. As for the formation energy: 806 meV/atom. Its space group is No. 216.


Entry 2:
Material: BaMnAl4
Method: DFT, PBE
State: relaxed

a b c (Å): 5.6860 5.6860 5.6860
angles (deg): 60.00 60.00 60.00
Atoms (fractional coordinates):
1 Ba 0.0000 0.0000 0.0000
2 Mn 0.7500 0.7500 0.7500
3 Al 0.3753 0.3753 0.3753
4 Al 0.3753 0.3753 0.8741
5 Al 0.3753 0.8741 0.3753
6 Al 0.8741 0.3753 0.3753

Output
The calculation puts the density of states at the Fermi level at 3.94 states/eV/cell. As for the formation energy: 176 meV/atom. Its space group is No. 216.


Entry 3:
Material: BaMn3Al
Method: DFT, PBE
State: relaxed

a b c (Å): 4.9734 4.9734 4.9734
angles (deg): 90.00 90.00 90.00
Atoms (fractional coordinates):
1 Ba 0.0000 0.0000 0.0000
2 Mn 0.0000 0.5000 0.5000
3 Mn 0.5000 0.0000 0.5000
4 Mn 0.5000 0.5000 0.0000
5 Al 0.5000 0.5000 0.5000

Output
The calculation puts the energy relative to the lowest polymorph listed for this composition at 0.000 eV/atom. The calculation puts the density of states at the Fermi level at 6.20 states/eV/cell. As for the formation energy: 712 meV/atom. Its space group is No. 221.


Number 1: calculated total energy -15.8 eV/cell. Number 2: calculated total energy -25.0 eV/cell. Number 3: calculated total energy -29.6 eV/cell.